# 1
Tb4CePr5 | PBE-GGA | relaxed

Values from the calculation:
Crystal system = monoclinic
Final energy = -4.733 eV/atom
Mass density = 7.2 g cm⁻³
Calculated formation energy = 102.2 meV/atom
Spin magnetization = 0.43 μB/f.u.

Cell: 18.119 3.541 11.120 Å, 90.00 106.67 90.00°
Space group C2/m (No. 12)
Inequivalent atoms, fractional coordinates:
Tb  0.094  0.000  0.314 [4 per cell]
Tb  0.195  0.500  0.580 [4 per cell]
Ce  0.000  0.500  0.500 [2 per cell]
Pr  0.000  0.500  0.000 [2 per cell]
Pr  0.104  0.000  0.782 [4 per cell]
Pr  0.205  0.000  0.102 [4 per cell]

***

# 2
Tb10CePr6 | PBE-GGA | relaxed

Values from the calculation:
Crystal system = monoclinic
Final energy = -4.622 eV/atom
Mass density = 7.2 g cm⁻³
Calculated formation energy = 137.4 meV/atom
Spin magnetization = 1.44 μB/f.u.

Cell: 11.444 15.324 7.191 Å, 90.00 110.05 90.00°
Space group C2/m (No. 12)
Inequivalent atoms, fractional coordinates:
Tb  0.000  0.164  0.000 [4 per cell]
Tb  0.000  0.165  0.500 [4 per cell]
Tb  0.168  0.000  0.840 [4 per cell]
Tb  0.172  0.329  0.827 [8 per cell]
Ce  0.000  0.500  0.500 [2 per cell]
Pr  0.161  0.335  0.328 [8 per cell]
Pr  0.167  0.000  0.334 [4 per cell]

***

# 3
TbCePr2 | PBE-GGA | relaxed

Values from the calculation:
Crystal system = trigonal
Final energy = -4.838 eV/atom
Mass density = 7.2 g cm⁻³
E above lowest polymorph = 123 meV/atom
Calculated formation energy = 193.0 meV/atom
Spin magnetization = 0.94 μB/f.u.

Cell: 3.5028 3.5028 37.9006 Å, 90.00 90.00 120.00°
Space group R-3m (No. 166, hexagonal axes)
Inequivalent atoms, fractional coordinates:
Tb  0.0000  0.0000  0.0000 [3 per cell]
Ce  0.0000  0.0000  0.5000 [3 per cell]
Pr  0.0000  0.0000  0.4121 [6 per cell]

***

# 4
Tb2CePr | PBE-GGA | relaxed

Values from the calculation:
Crystal system = tetragonal
Final energy = -4.933 eV/atom
Mass density = 7.7 g cm⁻³
E above lowest polymorph = 0 meV/atom
Calculated formation energy = 60.0 meV/atom
Spin magnetization = 0.60 μB/f.u.

Cell: 3.571 3.571 10.111 Å, 90.00 90.00 90.00°
Space group P4/mmm (No. 123)
Inequivalent atoms, fractional coordinates:
Tb  0.000  0.000  0.238 [2 per cell]
Ce  0.500  0.500  0.000 [1 per cell]
Pr  0.500  0.500  0.500 [1 per cell]

***

# 5
Tb2CePr12 | PBE-GGA | relaxed

Values from the calculation:
Crystal system = orthorhombic
Final energy = -4.670 eV/atom
Mass density = 6.6 g cm⁻³
Calculated formation energy = 166.5 meV/atom
Spin magnetization = 1.53 μB/f.u.

Cell: 7.246 11.745 25.236 Å, 90.00 90.00 90.00°
Space group Cmme (No. 67)
Inequivalent atoms, fractional coordinates:
Tb  0.000  0.250  0.230 [4 per cell]
Tb  0.000  0.250  0.766 [4 per cell]
Ce  0.000  0.250  0.499 [4 per cell]
Pr  0.000  0.003  0.572 [8 per cell]
Pr  0.000  0.024  0.060 [8 per cell]
Pr  0.230  0.250  0.915 [8 per cell]
Pr  0.248  0.250  0.372 [8 per cell]
Pr  0.250  0.000  0.176 [8 per cell]
Pr  0.250  0.000  0.302 [8 per cell]

***

# 6
Tb2CePr6 | PBE-GGA | relaxed

Values from the calculation:
Crystal system = monoclinic
Final energy = -4.685 eV/atom
Mass density = 6.9 g cm⁻³
Calculated formation energy = 190.0 meV/atom
Spin magnetization = 1.31 μB/f.u.

Cell: 20.317 3.497 10.123 Å, 90.00 118.98 90.00°
Space group C2/m (No. 12)
Inequivalent atoms, fractional coordinates:
Tb  0.166  0.000  0.168 [4 per cell]
Ce  0.000  0.000  0.500 [2 per cell]
Pr  0.002  0.000  0.176 [4 per cell]
Pr  0.161  0.500  0.485 [4 per cell]
Pr  0.178  0.000  0.830 [4 per cell]

***

# 7
Tb2CePr | PBE-GGA | relaxed

Values from the calculation:
Crystal system = cubic
Final energy = -4.815 eV/atom
Mass density = 7.5 g cm⁻³
E above lowest polymorph = 119 meV/atom
Calculated formation energy = 178.5 meV/atom
Spin magnetization = 0.96 μB/f.u.

Cell: 8.090 8.090 8.090 Å, 90.00 90.00 90.00°
Space group Fm-3m (No. 225)
Inequivalent atoms, fractional coordinates:
Tb  0.250  0.250  0.250 [8 per cell]
Ce  0.000  0.000  0.000 [4 per cell]
Pr  0.000  0.000  0.500 [4 per cell]

***

# 8
Tb8CePr4 | PBE-GGA | relaxed

Values from the calculation:
Crystal system = trigonal
Final energy = -4.258 eV/atom
Mass density = 6.8 g cm⁻³
Calculated formation energy = 518.6 meV/atom
Spin magnetization = 2.55 μB/f.u.

Cell: 11.1027 11.1027 13.5522 Å, 90.00 90.00 120.00°
Space group R-3m (No. 166, hexagonal axes)
Inequivalent atoms, fractional coordinates:
Tb  0.0000  0.0000  0.2412 [6 per cell]
Tb  0.0115  0.5058  0.7464 [18 per cell]
Ce  0.0000  0.0000  0.5000 [3 per cell]
Pr  0.0000  0.0000  0.0000 [3 per cell]
Pr  0.0000  0.5000  0.0000 [9 per cell]

***

# 9
Tb6CePr | PBE-GGA | relaxed

Values from the calculation:
Crystal system = triclinic
Final energy = -4.604 eV/atom
Mass density = 7.9 g cm⁻³
E above lowest polymorph = 165 meV/atom
Calculated formation energy = 207.6 meV/atom
Spin magnetization = 1.37 μB/f.u.

Cell: 6.536 6.616 7.511 Å, 114.90 115.70 90.02°
Space group P-1 (No. 2)
Inequivalent atoms, fractional coordinates:
Tb  0.231  0.410  0.462 [2 per cell]
Tb  0.248  0.000  0.000 [2 per cell]
Tb  0.260  0.937  0.520 [2 per cell]
Ce  0.000  0.500  0.000 [1 per cell]
Pr  0.500  0.500  0.000 [1 per cell]

***

# 10
Tb5CePr4 | PBE-GGA | relaxed

Values from the calculation:
Crystal system = triclinic
Final energy = -4.616 eV/atom
Mass density = 7.4 g cm⁻³
Calculated formation energy = 204.2 meV/atom
Spin magnetization = 0.18 μB/f.u.

Cell: 6.310 6.668 8.860 Å, 72.41 71.09 86.30°
Space group P-1 (No. 2)
Inequivalent atoms, fractional coordinates:
Tb  0.000  0.000  0.000 [1 per cell]
Tb  0.040  0.545  0.806 [2 per cell]
Tb  0.203  0.047  0.575 [2 per cell]
Ce  0.000  0.500  0.500 [1 per cell]
Pr  0.450  0.694  0.310 [2 per cell]
Pr  0.484  0.243  0.140 [2 per cell]

***

# 11
Tb4CePr10 | PBE-GGA | relaxed

Values from the calculation:
Crystal system = tetragonal
Final energy = -4.505 eV/atom
Mass density = 6.8 g cm⁻³
Calculated formation energy = 311.6 meV/atom
Spin magnetization = 1.15 μB/f.u.

Cell: 9.933 9.933 10.777 Å, 90.00 90.00 90.00°
Space group I4/m (No. 87)
Inequivalent atoms, fractional coordinates:
Tb  0.057  0.330  0.000 [8 per cell]
Ce  0.000  0.000  0.000 [2 per cell]
Pr  0.000  0.500  0.250 [4 per cell]
Pr  0.117  0.211  0.343 [16 per cell]

***

# 12
Tb6CePr | PBE-GGA | relaxed

Values from the calculation:
Crystal system = tetragonal
Final energy = -4.769 eV/atom
Mass density = 7.9 g cm⁻³
E above lowest polymorph = 0 meV/atom
Calculated formation energy = 42.6 meV/atom
Spin magnetization = 0.78 μB/f.u.

Cell: 5.054 5.054 10.103 Å, 90.00 90.00 90.00°
Space group P4/mmm (No. 123)
Inequivalent atoms, fractional coordinates:
Tb  0.000  0.000  0.000 [1 per cell]
Tb  0.000  0.000  0.500 [1 per cell]
Tb  0.000  0.500  0.246 [4 per cell]
Ce  0.500  0.500  0.000 [1 per cell]
Pr  0.500  0.500  0.500 [1 per cell]

***

# 13
Tb12CePr2 | PBE-GGA | relaxed

Values from the calculation:
Crystal system = monoclinic
Final energy = -4.622 eV/atom
Mass density = 7.8 g cm⁻³
Calculated formation energy = 115.1 meV/atom
Spin magnetization = 0.71 μB/f.u.

Cell: 7.122 11.328 24.494 Å, 90.00 94.22 90.00°
Space group C2/m (No. 12)
Inequivalent atoms, fractional coordinates:
Tb  0.017  0.244  0.072 [8 per cell]
Tb  0.112  0.252  0.445 [8 per cell]
Tb  0.141  0.000  0.574 [4 per cell]
Tb  0.144  0.500  0.571 [4 per cell]
Tb  0.168  0.251  0.670 [8 per cell]
Tb  0.201  0.250  0.802 [8 per cell]
Tb  0.212  0.500  0.867 [4 per cell]
Tb  0.222  0.000  0.867 [4 per cell]
Ce  0.192  0.500  0.000 [4 per cell]
Pr  0.066  0.000  0.270 [4 per cell]
Pr  0.069  0.500  0.272 [4 per cell]

***

# 14
Tb8CePr2 | PBE-GGA | relaxed

Values from the calculation:
Crystal system = monoclinic
Final energy = -4.736 eV/atom
Mass density = 7.8 g cm⁻³
Calculated formation energy = 39.5 meV/atom
Spin magnetization = 1.09 μB/f.u.

Cell: 18.287 5.074 8.026 Å, 90.00 105.24 90.00°
Space group C2/m (No. 12)
Inequivalent atoms, fractional coordinates:
Tb  0.044  0.000  0.231 [4 per cell]
Tb  0.089  0.500  0.952 [4 per cell]
Tb  0.134  0.000  0.677 [4 per cell]
Tb  0.180  0.500  0.407 [4 per cell]
Ce  0.000  0.500  0.500 [2 per cell]
Pr  0.228  0.000  0.138 [4 per cell]

***

# 15
Tb2Ce3PrTe6 | PBE-GGA | relaxed

Values from the calculation:
Crystal system = monoclinic
Final energy = -5.594 eV/atom
Energy relative to the elements, uncorrected = -1.37 eV per atom
Mass density = 7.3 g cm⁻³
Spin magnetization = 3.48 μB/f.u.

Cell: 7.684 13.323 7.778 Å, 90.00 109.25 90.00°
Space group C2/m (No. 12)
Inequivalent atoms, fractional coordinates:
Tb  0.000  0.168  0.000 [4 per cell]
Ce  0.000  0.000  0.500 [2 per cell]
Ce  0.000  0.339  0.500 [4 per cell]
Pr  0.000  0.500  0.000 [2 per cell]
Te  0.238  0.000  0.241 [4 per cell]
Te  0.247  0.171  0.754 [8 per cell]

***

# 16
TbCePr2Te5 | PBE-GGA | relaxed

Values from the calculation:
Crystal system = tetragonal
Final energy = -4.828 eV/atom
Energy relative to the elements, uncorrected = -0.85 eV per atom
Mass density = 5.5 g cm⁻³
Spin magnetization = 1.75 μB/f.u.

Cell: 5.569 5.569 11.919 Å, 90.00 90.00 90.00°
Space group P4/mmm (No. 123)
Inequivalent atoms, fractional coordinates:
Tb  0.000  0.000  0.000 [1 per cell]
Ce  0.000  0.000  0.500 [1 per cell]
Pr  0.500  0.500  0.158 [2 per cell]
Te  0.000  0.000  0.249 [2 per cell]
Te  0.000  0.500  0.000 [2 per cell]
Te  0.500  0.500  0.500 [1 per cell]

***

# 17
TbCe4Pr3Te8 | PBE-GGA | relaxed

Values from the calculation:
Crystal system = trigonal
Final energy = -5.632 eV/atom
Energy relative to the elements, uncorrected = -1.39 eV per atom
Mass density = 7.0 g cm⁻³
Spin magnetization = 4.79 μB/f.u.

Cell: 8.9556 8.9556 22.1649 Å, 90.00 90.00 120.00°
Space group R-3m (No. 166, hexagonal axes)
Inequivalent atoms, fractional coordinates:
Tb  0.0000  0.0000  0.0000 [3 per cell]
Ce  0.0000  0.0000  0.5000 [3 per cell]
Ce  0.0000  0.5000  0.5000 [9 per cell]
Pr  0.0000  0.5000  0.0000 [9 per cell]
Te  0.0000  0.0000  0.2489 [6 per cell]
Te  0.0060  0.5030  0.7495 [18 per cell]

***

# 18
TbCe3Pr4Te8 | PBE-GGA | relaxed

Values from the calculation:
Crystal system = trigonal
Final energy = -5.569 eV/atom
Energy relative to the elements, uncorrected = -1.40 eV per atom
Mass density = 7.0 g cm⁻³
Spin magnetization = 3.51 μB/f.u.

Cell: 8.9729 8.9729 22.1295 Å, 90.00 90.00 120.00°
Space group R-3m (No. 166, hexagonal axes)
Inequivalent atoms, fractional coordinates:
Tb  0.0000  0.0000  0.0000 [3 per cell]
Ce  0.0000  0.5000  0.0000 [9 per cell]
Pr  0.0000  0.0000  0.5000 [3 per cell]
Pr  0.0000  0.5000  0.5000 [9 per cell]
Te  0.0000  0.0000  0.2511 [6 per cell]
Te  0.0043  0.5021  0.7477 [18 per cell]

***

# 19
Tb2CePr3Te6 | PBE-GGA | relaxed

Values from the calculation:
Crystal system = monoclinic
Final energy = -5.421 eV/atom
Energy relative to the elements, uncorrected = -1.39 eV per atom
Mass density = 7.2 g cm⁻³
Spin magnetization = 1.26 μB/f.u.

Cell: 19.511 4.437 9.024 Å, 90.00 103.56 90.00°
Space group C2/m (No. 12)
Inequivalent atoms, fractional coordinates:
Tb  0.166  0.000  0.331 [4 per cell]
Ce  0.000  0.500  0.000 [2 per cell]
Pr  0.000  0.500  0.500 [2 per cell]
Pr  0.164  0.000  0.833 [4 per cell]
Te  0.004  0.000  0.250 [4 per cell]
Te  0.167  0.500  0.092 [4 per cell]
Te  0.170  0.500  0.576 [4 per cell]

***

# 20
Tb3Ce4PrTe8 | PBE-GGA | relaxed

Values from the calculation:
Crystal system = trigonal
Final energy = -5.584 eV/atom
Energy relative to the elements, uncorrected = -1.36 eV per atom
Mass density = 7.3 g cm⁻³
Spin magnetization = 4.91 μB/f.u.

Cell: 8.8575 8.8575 22.0495 Å, 90.00 90.00 120.00°
Space group R-3m (No. 166, hexagonal axes)
Inequivalent atoms, fractional coordinates:
Tb  0.0000  0.5000  0.0000 [9 per cell]
Ce  0.0000  0.0000  0.5000 [3 per cell]
Ce  0.0000  0.5000  0.5000 [9 per cell]
Pr  0.0000  0.0000  0.0000 [3 per cell]
Te  0.0000  0.0000  0.2533 [6 per cell]
Te  0.0060  0.5030  0.2519 [18 per cell]